Record 1
This record from Alexandria describes a PBEsol-optimized structure of LaSc2Co. The functional is SCAN.

a = 3.1774 Å, b = 3.1774 Å, c = 8.4396 Å
α = 90.00°, β = 90.00°, γ = 90.00°
Last column: nearest neighbours and their distance in Å.
Space group P4/mmm (No. 123)
Inequivalent atoms, fractional coordinates:
La 0.0000 0.0000 0.0000 (multiplicity 1)  4 La 3.18, 8 Sc 3.56
Sc 0.5000 0.5000 0.3267 (multiplicity 2)  4 Co 2.68, 1 Sc 2.93
Co 0.0000 0.0000 0.5000 (multiplicity 1)  8 Sc 2.68

Results
**Total moment**: 0.33 μB/f.u.
**Density**: 5.61 g cm⁻³
**Energy above the lowest structure with this stoichiometry**: 0.00 kJ per mole of atoms
**E_form**: -3.922 kcal/mol of atoms

***

Record 2
This record from Alexandria describes a PBEsol-optimized structure of LaSc2Co. The functional is SCAN.

a = 3.7750 Å, b = 4.4953 Å, c = 4.9078 Å
α = 90.00°, β = 90.00°, γ = 90.00°
Last column: nearest neighbours and their distance in Å.
Space group Pmmm (No. 47)
Inequivalent atoms, fractional coordinates:
La 0.0000 0.0000 0.0000 (multiplicity 1)  4 Co 2.94, 4 Sc 3.10
Sc 0.0000 0.5000 0.5000 (multiplicity 1)  4 Sc 2.94, 4 Co 3.10
Sc 0.5000 0.0000 0.5000 (multiplicity 1)  4 Sc 2.94, 4 La 3.10
Co 0.5000 0.5000 0.0000 (multiplicity 1)  4 La 2.94, 4 Sc 3.10

Results
**Total moment**: 0.31 μB/f.u.
**Density**: 5.74 g cm⁻³
**Energy above the lowest structure with this stoichiometry**: 39.42 kJ per mole of atoms
**E_form**: 5.501 kcal/mol of atoms

***

> energy above the lowest structure with this stoichiometry of number 1 (LaSc2Co)?

0.00 kJ per mole of atoms

***

> The lowest total moment belongs to which entry?

number 2